--- a ---
## BaCr2O4 (PBE+U)

Data for BaCr2O4 after structural relaxation.

POSCAR file:
```
BaCr2O4
1.0
5.2840 0.0000 0.0000
0.0000 6.0906 0.0000
-0.0001 0.0000 12.4001
Ba O Cr
4 16 8
Direct
0.4457 0.7500 0.7500
0.5541 0.2500 0.2500
0.8662 0.2500 0.7500
0.1337 0.7500 0.2500
0.6652 0.9971 0.5874
0.8329 0.7500 0.4145
0.6652 0.5029 0.9126
0.3348 0.4971 0.0874
0.3348 0.0029 0.0874
0.1689 0.7500 0.9204
0.8311 0.2500 0.4204
0.6652 0.9971 0.9126
0.1671 0.2500 0.5855
0.8329 0.7500 0.0855
0.3348 0.4971 0.4126
0.1689 0.7500 0.5796
0.1671 0.2500 0.9145
0.8311 0.2500 0.0796
0.6653 0.5029 0.5874
0.3348 0.0029 0.4126
0.5024 0.7500 0.4942
0.0000 0.5000 0.0000
0.0000 0.0000 0.5000
0.4977 0.2500 0.9943
0.0000 0.5000 0.5000
0.5023 0.7500 0.0057
0.4977 0.2500 0.5058
0.0000 0.0000 0.0000
```

---

--- b ---
## BaCr2O4 (PBE+U)

Data for BaCr2O4 after structural relaxation.

POSCAR file:
```
BaCr2O4
1.0
-2.3569 -5.0355 3.4138
-0.9486 -3.3054 -5.5443
5.9037 2.4024 1.3921
O Ba Cr
8 2 4
Direct
0.4539 0.1512 0.3027
0.4012 0.5985 0.1973
0.4011 0.2039 0.8027
0.8488 0.5461 0.6974
0.8488 0.1515 0.3027
0.8485 0.1512 0.6973
0.7961 0.5988 0.1973
0.4015 0.5988 0.8027
0.2500 0.7500 0.5000
0.0000 0.0000 0.0000
0.6250 0.8750 0.2500
0.6250 0.3750 0.2500
0.6250 0.3750 0.7500
0.1250 0.3750 0.7500
```

---

a wins, 0.176 eV/atom ahead of the next structure.

---

--- a ---
## BaCrP2O (PBE+U)

Data for BaCrP2O after structural relaxation.

POSCAR file:
```
BaCrP2O
1.0
-0.1922 3.1713 -4.3538
-2.9116 -3.7264 -2.5858
-3.0549 1.5234 1.2445
Cr O P Ba
1 1 2 1
Direct
0.0000 0.0000 0.0000
0.0000 0.0000 0.5000
0.5000 0.0000 0.0000
0.0000 0.5000 0.0000
0.5000 0.5000 0.5000
```

---

--- b ---
## BaCrP2O (PBE+U)

Data for BaCrP2O after structural relaxation.

POSCAR file:
```
BaCrP2O
1.0
-3.6958 -4.5171 -0.5174
0.6436 -1.1798 5.7031
-3.4043 2.6779 0.9382
P Ba Cr O
2 1 1 1
Direct
0.0000 0.5000 0.0000
0.5000 0.0000 0.0000
0.0000 0.0000 0.0000
0.5000 0.5000 0.5000
0.0000 0.0000 0.5000
```

---

a wins, 1.819 eV/atom ahead of the next structure.